The following is a DFT calculation (meta-GGA SCAN) of KSn2Os at its PBEsol-relaxed geometry.

Cell: 4.845 4.845 4.845 Å, 60.00 60.00 60.00°
Sites, in units of the cell vectors:
K 0.000 0.000 0.000
Sn 0.250 0.250 0.250
Os 0.500 0.500 0.500
Sn 0.750 0.750 0.750

total magnetization: 0.00 μB per formula unit
VASP energy: -149.94 eV/cell



The following is a DFT calculation (meta-GGA SCAN) of ScIr3I at its PBEsol-relaxed geometry.

Cell: 4.787 4.787 4.787 Å, 90.00 90.00 90.00°
Site moments in Bohr magnetons follow the coordinates.
Sites, in units of the cell vectors:
Ir 0.000 0.000 0.500  0.43
Sc 0.500 0.500 0.500  -0.02
I 0.000 0.000 0.000  0.00
Ir 0.500 0.000 0.000  0.43
Ir 0.000 0.500 0.000  0.43

total magnetization: 1.20 μB per formula unit
VASP energy: -257.03 eV/cell



The following is a DFT calculation (meta-GGA SCAN) of MgPt2Se at its PBEsol-relaxed geometry.

Cell: 2.948 3.791 5.701 Å, 90.00 90.00 90.00°
Sites, in units of the cell vectors:
Se 0.500 0.500 0.000
Pt 0.000 0.000 0.254
Pt 0.000 0.000 0.746
Mg 0.500 0.500 0.500

total magnetization: 0.00 μB per formula unit
relative energy among the computed polymorphs: 0.0345 eV per atom



The following is a DFT calculation (meta-GGA SCAN) of Sb2HRuI at its PBEsol-relaxed geometry.

Cell: 4.274 4.274 5.146 Å, 90.00 90.00 90.00°
Sites, in units of the cell vectors:
I 0.000 0.000 0.500
Ru 0.500 0.500 0.500
H 0.000 0.000 0.000
Sb 0.500 0.000 0.000
Sb 0.000 0.500 0.000

total magnetization: 0.00 μB per formula unit
relative energy among the computed polymorphs: 0.2794 eV per atom



The following is a DFT calculation (meta-GGA SCAN) of CuBr at its PBEsol-relaxed geometry.

Cell: 6.758 6.758 6.758 Å, 90.00 90.00 90.00°
Sites, in units of the cell vectors:
Br 0.161 0.161 0.161
Cu 0.617 0.883 0.117
Cu 0.383 0.383 0.383
Br 0.161 0.339 0.661
Cu 0.617 0.617 0.617
Cu 0.117 0.883 0.383
Cu 0.883 0.383 0.117
Cu 0.383 0.117 0.883
Br 0.661 0.339 0.839
Br 0.339 0.661 0.161
Br 0.839 0.839 0.839
Cu 0.117 0.617 0.883
Br 0.839 0.661 0.339
Br 0.661 0.161 0.339
Br 0.339 0.839 0.661
Cu 0.883 0.117 0.617

total magnetization: 0.00 μB per formula unit
VASP energy: -280.75 eV/cell



The following is a DFT calculation (meta-GGA SCAN) of AlFeRh2 at its PBEsol-relaxed geometry.

Cell: 2.760 2.760 6.698 Å, 90.00 90.00 90.00°
Site moments in Bohr magnetons follow the coordinates.
Sites, in units of the cell vectors:
Rh 0.500 0.500 0.267  -0.08
Rh 0.000 0.000 0.983  0.37
Fe 0.500 0.500 0.744  2.66
Al 0.000 0.000 0.506  -0.04

total magnetization: 2.79 μB per formula unit
VASP energy: -95.03 eV/cell